[1]
6
Lattice="3.9475 0.0000 0.0000 0.0000 3.9475 0.0000 0.0000 0.0000 6.8115" Properties=species:S:1:pos:R:3 comment="SmCoSi (SCAN, single point on PBEsol structure)" raw_formation_energy_mev_per_atom=-681.6 sg=P4/nmm energy_ev_per_cell=-147.614 pbc="T T T"
Si 1.9737 0.0000 2.2133
Si 0.0000 1.9737 4.5982
Co 0.0000 0.0000 3.4058
Co 1.9737 1.9737 3.4058
Sm 1.9737 0.0000 5.5660
Sm 0.0000 1.9737 1.2455

=====

[2]
6
Lattice="-0.3501 -5.1880 0.2604 0.8175 -2.8812 -4.2587 4.2926 -2.9212 -0.3821" Properties=species:S:1:pos:R:3 comment="SrCoSi4 (SCAN, single point on PBEsol structure)" raw_formation_energy_mev_per_atom=384.0 sg=F-43m energy_ev_per_cell=-77.339 pbc="T T T"
Co 0.0000 0.0000 0.0000
Si 1.7702 -4.0872 -1.6290
Si 3.9700 -5.5842 -1.8248
Si 1.5908 -6.7459 -1.4956
Si 2.1891 -5.5637 -3.8114
Sr 3.5700 -8.2429 -3.2853

=====

[3]
3
Lattice="3.9020 0.0000 0.0000 -1.9510 3.3792 0.0000 0.0000 0.0000 4.6837" Properties=species:S:1:pos:R:3 comment="SrCoSi (SCAN, single point on PBEsol structure)" raw_formation_energy_mev_per_atom=-134.6 sg=P-6m2 energy_ev_per_cell=-49.999 pbc="T T T"
Sr 1.9510 1.1264 2.3419
Si 0.0000 2.2528 0.0000
Co 0.0000 0.0000 0.0000

=====

[4]
3
Lattice="-0.6064 -2.7755 -1.2820 2.9967 -0.7984 0.3112 -2.2649 -0.2838 5.4748" Properties=species:S:1:pos:R:3 comment="SrCoSi (SCAN, single point on PBEsol structure)" raw_formation_energy_mev_per_atom=11.2 sg=I4mm energy_ev_per_cell=-49.562 pbc="T T T"
Sr 0.8442 -2.4663 1.1513
Si -0.8150 -1.5776 3.8009
Co 0.2215 -3.6717 4.0557

=====

[5]
4
Lattice="3.7367 0.0000 0.0000 0.0000 3.7367 0.0000 0.0000 0.0000 6.9927" Properties=species:S:1:pos:R:3 comment="Sr2CoSi (SCAN, single point on PBEsol structure)" raw_formation_energy_mev_per_atom=209.1 sg=P4/mmm energy_ev_per_cell=-71.034 pbc="T T T"
Co 1.8684 1.8684 0.0000
Si 1.8684 1.8684 3.4964
Sr 0.0000 0.0000 5.2877
Sr 0.0000 0.0000 1.7050

=====

[6]
6
Lattice="4.8779 0.0000 0.0000 2.4389 4.2244 0.0000 2.4389 1.4081 3.9828" Properties=species:S:1:pos:R:3 comment="SrCo4Si (SCAN, single point on PBEsol structure)" raw_formation_energy_mev_per_atom=426.1 sg=F-43m energy_ev_per_cell=-98.952 pbc="T T T"
Co 3.6780 2.1235 1.5015
Co 4.8779 2.8163 3.4610
Co 6.0778 2.1235 1.5015
Co 4.8779 4.2018 1.5015
Si 7.3168 4.2244 2.9871
Sr 0.0000 0.0000 0.0000

=====

[7]
6
Lattice="-2.9405 5.7707 0.1869 -5.4451 0.9723 -3.3746 -5.6552 0.6557 3.0936" Properties=species:S:1:pos:R:3 comment="Sr4CoSi (SCAN, single point on PBEsol structure)" raw_formation_energy_mev_per_atom=1054.4 sg=F-43m energy_ev_per_cell=-110.095 pbc="T T T"
Co -10.5306 5.5490 -0.0705
Si 0.0000 0.0000 0.0000
Sr -5.2605 2.7719 -0.0352
Sr -8.0959 3.1007 1.5158
Sr -6.7348 5.6653 0.0585
Sr -7.9905 3.2594 -1.7272

=====

[8]
4
Lattice="3.8243 0.0000 0.0000 0.0000 5.0656 0.0000 -1.9122 -2.5328 5.0256" Properties=species:S:1:pos:R:3 comment="Sr2CoSi (SCAN, single point on PBEsol structure)" raw_formation_energy_mev_per_atom=17.1 sg=Imm2 energy_ev_per_cell=-71.802 pbc="T T T"
Co 0.0000 0.0000 4.2412
Si 1.9121 0.0000 3.1949
Sr 0.0000 0.0000 0.3001
Sr 0.0000 2.5328 2.3149

=====

[9]
4
Lattice="-3.0122 -1.6133 -1.2943 1.9582 -3.2326 -0.5278 -0.9852 -1.2194 3.8129" Properties=species:S:1:pos:R:3 comment="Ta2CoSi (SCAN, single point on PBEsol structure)" raw_formation_energy_mev_per_atom=-158.8 sg=Pmmm energy_ev_per_cell=-161.122 pbc="T T T"
Co -0.5270 -2.4230 -0.9111
Si 0.4865 -2.2260 1.6425
Ta 0.0000 0.0000 0.0000
Ta -1.9987 -1.4163 1.2593

=====

[10]
4
Lattice="3.0933 0.0000 0.0000 0.0000 4.2389 0.0000 -1.5467 -2.1194 4.3777" Properties=species:S:1:pos:R:3 comment="Ta2CoSi (SCAN, single point on PBEsol structure)" raw_formation_energy_mev_per_atom=-141.6 sg=Imm2 energy_ev_per_cell=-161.053 pbc="T T T"
Co 1.5467 2.1194 0.1465
Si 0.0000 2.1194 1.9202
Ta 1.5467 2.1194 4.3526
Ta 1.5467 0.0000 2.3361

=====

[11]
32
Lattice="6.0946 0.0194 0.0000 -2.1544 5.7012 0.0000 0.0000 0.0000 9.9763" Properties=species:S:1:pos:R:3 comment="TaCo6Si (SCAN, single point on PBEsol structure)" raw_formation_energy_mev_per_atom=-92.6 sg=Cmmm energy_ev_per_cell=-724.661 pbc="T T T"
Co -0.1070 4.2910 7.4050
Co 4.0104 3.6558 8.6806
Co -0.0701 2.0649 8.6806
Co 4.0473 1.4296 7.4050
Co 1.9542 0.6705 8.6806
Co 1.9860 5.0501 8.6806
Co 1.9701 2.8603 4.9882
Co -0.1043 2.0939 6.1927
Co 1.9936 0.6489 6.1927
Co -0.1070 4.2910 2.5713
Co 4.0446 3.6267 3.7836
Co -0.1043 2.0939 3.7836
Co 4.0473 1.4296 2.5713
Co 1.9936 0.6489 3.7836
Co 1.9467 5.0717 3.7836
Co 1.9701 2.8603 0.0000
Co -0.0701 2.0649 1.2958
Co 1.9542 0.6705 1.2958
Co 0.0000 0.0000 4.9882
Co 1.9467 5.0717 6.1927
Co 4.0446 3.6267 6.1927
Co 0.0000 0.0000 0.0000
Co 1.9860 5.0501 1.2958
Co 4.0104 3.6558 1.2958
Si 0.0263 4.1992 4.9882
Si 3.9140 1.5214 4.9882
Si 0.0000 0.0000 7.4360
Si 0.0000 0.0000 2.5403
Ta -0.0211 4.2318 0.0000
Ta 3.9614 1.4888 0.0000
Ta 1.9701 2.8603 7.4574
Ta 1.9701 2.8603 2.5189

=====

[12]
4
Lattice="3.2991 0.0000 0.0000 0.0000 3.2991 0.0000 0.0000 0.0000 5.3331" Properties=species:S:1:pos:R:3 comment="Ta2CoSi (SCAN, single point on PBEsol structure)" raw_formation_energy_mev_per_atom=-143.5 sg=P4/mmm energy_ev_per_cell=-161.061 pbc="T T T"
Co 1.6495 1.6495 0.0000
Si 1.6495 1.6495 2.6666
Ta 0.0000 0.0000 3.9969
Ta 0.0000 0.0000 1.3363